[1]
VASP calculation (PBE-GGA) on an optimized crystal structure of ErTh2Sc8.

It has space group C2/m (No. 12), with a = 8.537 Å, b = 15.234 Å, c = 5.598 Å, α = 90.00°, β = 125.23° and γ = 90.00°. The inequivalent atoms are Er at (0.000, 0.000, 0.000), Th at (0.000, 0.306, 0.500), Sc at (0.000, 0.207, 0.000), Sc at (0.064, 0.500, 0.793) and Sc at (0.219, 0.117, 0.688).

The total energy is -6.1817 eV per atom. The energy relative to the elements is 0.187 eV/atom. For the density of states at the Fermi level, the calculation gives 1.29 states/eV per atom.

---

[2]
VASP calculation (PBE-GGA) on an optimized crystal structure of Re3Tc4Os2.

It has space group C2/c (No. 15), with a = 11.124 Å, b = 10.367 Å, c = 4.775 Å, α = 90.00°, β = 96.84° and γ = 90.00°. The inequivalent atoms are Re at (0.000, 0.049, 0.250), Re at (0.100, 0.437, 0.567), Tc at (0.081, 0.284, 0.057), Tc at (0.169, 0.182, 0.590) and Os at (0.212, 0.072, 0.075).

The total energy is -11.0832 eV per atom. The energy relative to the elements is 0.169 eV/atom. The excess energy over the best structure of this formula in the dataset is 20.5 kJ per mole of atoms. For the density of states at the Fermi level, the calculation gives 0.87 states/eV per atom.

---

[3]
VASP calculation (PBE-GGA) on an optimized crystal structure of Y4GaNi3.

It has space group Pmm2 (No. 25), with a = 3.749 Å, b = 4.296 Å, c = 10.519 Å, α = 90.00°, β = 90.00° and γ = 90.00°. The inequivalent atoms are Y at (0.000, 0.000, 0.000), Y at (0.000, 0.500, 0.267), Y at (0.500, 0.000, 0.479), Y at (0.500, 0.500, 0.776), Ga at (0.000, 0.000, 0.700), Ni at (0.000, 0.500, 0.560), Ni at (0.500, 0.000, 0.203) and Ni at (0.500, 0.500, 0.063).

The total energy is -6.2496 eV per atom. The energy relative to the elements is -0.471 eV/atom. For the density of states at the Fermi level, the calculation gives 0.71 states/eV per atom.

---

[4]
VASP calculation (PBE-GGA) on an optimized crystal structure of YB2As2.

It has space group P4/mbm (No. 127), with a = 7.192 Å, b = 7.192 Å, c = 3.297 Å, α = 90.00°, β = 90.00° and γ = 90.00°. The inequivalent atoms are Y at (0.000, 0.000, 0.000), B at (0.087, 0.413, 0.500) and As at (0.141, 0.641, 0.000).

The total energy is -5.1468 eV per atom. The energy relative to the elements is 0.677 eV/atom. The excess energy over the best structure of this formula in the dataset is 39.9 kJ per mole of atoms. For the density of states at the Fermi level, the calculation gives 0.62 states/eV per atom.